[1]
Material: TaZn2Cr
Method: DFT, PBE-GGA
State: relaxed

Lattice parameters (Å, degrees): 2.757 2.757 27.624 90.00 90.00 120.00
Fractional coordinates of all 12 atoms:
Ta 0.000 0.000 0.000
Ta 0.333 0.667 0.667
Ta 0.667 0.333 0.333
Zn 0.000 0.000 0.245
Zn 0.000 0.000 0.496
Zn 0.333 0.667 0.162
Zn 0.333 0.667 0.912
Zn 0.667 0.333 0.579
Zn 0.667 0.333 0.829
Cr 0.000 0.000 0.752
Cr 0.333 0.667 0.419
Cr 0.667 0.333 0.085

Computed properties:
- Uncorrected energy: -5.721 eV per atom
- Energy of formation: 6.6 kcal/mol of atoms
- Energy relative to the lowest polymorph listed for this composition: 181 meV per atom
- Space group: R3m, No. 160

=====

[2]
Material: ZrTa2Cr
Method: DFT, PBE-GGA
State: relaxed

Lattice parameters (Å, degrees): 3.280 4.590 4.759 90.00 90.00 90.00
Fractional coordinates of all 4 atoms:
Zr 0.000 0.000 0.000
Ta 0.000 0.500 0.500
Ta 0.500 0.000 0.500
Cr 0.500 0.500 0.000

Computed properties:
- Uncorrected energy: -10.264 eV per atom
- Energy of formation: 4.7 kcal/mol of atoms
- Energy relative to the lowest polymorph listed for this composition: 121 meV per atom
- Space group: Pmmm, No. 47

=====

[3]
Material: ZrTa2Cr
Method: DFT, PBE-GGA
State: relaxed

Lattice parameters (Å, degrees): 3.135 3.135 7.223 90.00 90.00 90.00
Fractional coordinates of all 4 atoms:
Zr 0.000 0.000 0.000
Ta 0.500 0.500 0.294
Ta 0.500 0.500 0.706
Cr 0.000 0.000 0.500

Computed properties:
- Uncorrected energy: -10.385 eV per atom
- Energy of formation: 1.9 kcal/mol of atoms
- Energy relative to the lowest polymorph listed for this composition: 0 meV per atom
- Space group: P4/mmm, No. 123

=====

[4]
Material: Zr2TaCr
Method: DFT, PBE-GGA
State: relaxed

Lattice parameters (Å, degrees): 3.214 3.214 7.314 90.00 90.00 90.00
Fractional coordinates of all 4 atoms:
Zr 0.000 0.000 0.000
Zr 0.500 0.500 0.304
Ta 0.500 0.500 0.725
Cr 0.000 0.000 0.541

Computed properties:
- Uncorrected energy: -9.550 eV per atom
- Energy of formation: 2.2 kcal/mol of atoms
- Energy relative to the lowest polymorph listed for this composition: 0 meV per atom
- Space group: P4mm, No. 99

=====

[5]
Material: ZrTa2Cr
Method: DFT, PBE-GGA
State: relaxed

Lattice parameters (Å, degrees): 2.953 4.411 5.587 90.00 101.85 90.00
Fractional coordinates of all 4 atoms:
Zr 0.000 0.000 0.000
Ta 0.281 0.500 0.714
Ta 0.573 0.000 0.473
Cr 0.783 0.500 0.259

Computed properties:
- Uncorrected energy: -10.248 eV per atom
- Energy of formation: 5.1 kcal/mol of atoms
- Energy relative to the lowest polymorph listed for this composition: 137 meV per atom
- Space group: Pm, No. 6

=====

[6]
Material: Zr2TaCr
Method: DFT, PBE-GGA
State: relaxed

Lattice parameters (Å, degrees): 5.840 9.337 3.000 90.00 110.27 90.00
Fractional coordinates of all 8 atoms:
Zr 0.250 0.250 0.000
Zr 0.250 0.750 0.000
Zr 0.750 0.250 0.000
Zr 0.750 0.750 0.000
Ta 0.000 0.000 0.500
Ta 0.500 0.500 0.500
Cr 0.000 0.500 0.500
Cr 0.500 0.000 0.500

Computed properties:
- Uncorrected energy: -9.325 eV per atom
- Energy of formation: 7.3 kcal/mol of atoms
- Energy relative to the lowest polymorph listed for this composition: 225 meV per atom
- Space group: C2/m, No. 12

=====

[7]
Material: ZrTa2Cr
Method: DFT, PBE-GGA
State: relaxed

Lattice parameters (Å, degrees): 4.602 4.602 3.309 90.00 90.00 90.00
Fractional coordinates of all 4 atoms:
Zr 0.000 0.000 0.000
Ta 0.000 0.500 0.500
Ta 0.500 0.000 0.500
Cr 0.500 0.500 0.000

Computed properties:
- Uncorrected energy: -10.192 eV per atom
- Energy of formation: 6.4 kcal/mol of atoms
- Energy relative to the lowest polymorph listed for this composition: 193 meV per atom
- Space group: P4/mmm, No. 123

=====

[8]
Material: ZrTa2Cr
Method: DFT, PBE-GGA
State: relaxed

Lattice parameters (Å, degrees): 3.273 4.799 9.005 90.00 90.00 90.00
Fractional coordinates of all 8 atoms:
Zr 0.000 0.000 0.000
Zr 0.500 0.500 0.000
Ta 0.000 0.000 0.452
Ta 0.000 0.500 0.712
Ta 0.500 0.000 0.712
Ta 0.500 0.500 0.452
Cr 0.000 0.500 0.237
Cr 0.500 0.000 0.237

Computed properties:
- Uncorrected energy: -10.292 eV per atom
- Energy of formation: 4.1 kcal/mol of atoms
- Energy relative to the lowest polymorph listed for this composition: 93 meV per atom
- Space group: Cmm2, No. 35